Record 1
{
  "formula": "CaErSnAu",
  "functional": "GGA-PBE",
  "state": "relaxed",
  "energy_ev_per_atom": -4.20,
  "delta_e_f_ev_per_atom": -0.7392,
  "total_magnetization_mub_per_atom": 0.000,
  "cell": [[5.2270, 0.0000, 0.0000], [2.6135, 4.5267, 0.0000], [2.6135, 1.5089, 4.2679]],
  "species": ["Au", "Sn", "Er", "Ca"],
  "fractional_positions": [[0.7500, 0.7500, 0.7500], [0.2500, 0.2500, 0.2500], [0.0000, 0.0000, 0.0000], [0.5000, 0.5000, 0.5000]]
}

Record 2
{
  "formula": "Co2RhAu",
  "functional": "GGA-PBE",
  "state": "relaxed",
  "energy_ev_per_atom": -6.05,
  "delta_e_f_ev_per_atom": 0.1625,
  "total_magnetization_mub_per_atom": 1.104,
  "cell": [[2.7212, 0.0000, 0.0000], [0.0000, 3.5663, 0.0000], [0.0000, 0.0000, 5.6898]],
  "species": ["Au", "Rh", "Co", "Co"],
  "fractional_positions": [[0.5000, 0.5000, 0.7648], [0.0000, 0.0000, 0.4664], [0.5000, 0.5000, 0.2362], [0.0000, 0.0000, 0.0326]]
}

Record 3
{
  "formula": "Ca2NdSi3Au12",
  "functional": "GGA-PBE",
  "state": "relaxed",
  "energy_ev_per_atom": -3.78,
  "total_magnetization_mub_per_atom": 0.000,
  "cell": [[7.8677, -0.5883, -0.4173], [3.3739, 7.1319, -0.4173], [3.3739, 1.9639, 6.8689]],
  "species": ["Au", "Au", "Nd", "Au", "Au", "Au", "Au", "Au", "Si", "Au", "Si", "Au", "Au", "Ca", "Au", "Si", "Ca", "Au"],
  "fractional_positions": [[0.6957, 0.1500, 0.6957], [0.3043, 0.8500, 0.3043], [0.0000, 0.0000, 0.0000], [0.1589, 0.1589, 0.5909], [0.5909, 0.1589, 0.1589], [0.1589, 0.5909, 0.1589], [0.8500, 0.3043, 0.3043], [0.8411, 0.8411, 0.4091], [0.0000, 0.5000, 0.0000], [0.3043, 0.3043, 0.8500], [0.5000, 0.0000, 0.0000], [0.1500, 0.6957, 0.6957], [0.4091, 0.8411, 0.8411], [0.4079, 0.4079, 0.4079], [0.8411, 0.4091, 0.8411], [0.0000, 0.0000, 0.5000], [0.5921, 0.5921, 0.5921], [0.6957, 0.6957, 0.1500]]
}

Record 4
{
  "formula": "CdPbCl6",
  "functional": "GGA-PBE",
  "state": "relaxed",
  "energy_ev_per_atom": -2.71,
  "total_magnetization_mub_per_atom": 0.000,
  "de_polymorph_ev_per_fu": 0.00,
  "cell": [[-4.1865, 4.9954, 0.7470], [-4.3712, -1.5440, 4.6420], [1.4556, 1.6465, 6.5543]],
  "species": ["Cd", "Cl", "Cl", "Cl", "Pb", "Cl", "Cl", "Cl"],
  "fractional_positions": [[0.5000, 0.5000, 0.0000], [0.2496, 0.6049, 0.2935], [0.7504, 0.1016, 0.2935], [0.2374, 0.2390, 0.0000], [0.0000, 0.0000, 0.0000], [0.2496, 0.8984, 0.7065], [0.7504, 0.3951, 0.7065], [0.7626, 0.7610, 0.0000]]
}

Record 5
{
  "formula": "Ho3Th5As8",
  "functional": "GGA-PBE",
  "state": "relaxed",
  "energy_ev_per_atom": -6.94,
  "delta_e_f_ev_per_atom": -1.4410,
  "total_magnetization_mub_per_atom": 0.000,
  "cell": [[2.0428, 5.2676, 6.2290], [0.6647, -2.8624, 7.8794], [7.5262, -0.5329, 3.6592]],
  "species": ["Th", "As", "Th", "As", "Th", "Th", "Ho", "As", "Ho", "Th", "Ho", "As", "As", "As", "As", "As"],
  "fractional_positions": [[0.5000, 0.5000, 0.5000], [0.2500, 0.2500, 0.7434], [0.0000, 0.5000, 0.0000], [0.7567, 0.2500, 0.7434], [0.5000, 0.5000, 0.0000], [0.0000, 0.0000, 0.0000], [0.0000, 0.0000, 0.5000], [0.7500, 0.7500, 0.2566], [0.5000, 0.0000, 0.5000], [0.5000, 0.0000, 0.0000], [0.0000, 0.5000, 0.5000], [0.7529, 0.7529, 0.7412], [0.2500, 0.7567, 0.7434], [0.7500, 0.2433, 0.2566], [0.2471, 0.2471, 0.2588], [0.2433, 0.7500, 0.2566]]
}

Record 6
{
  "formula": "LaTmCdRh",
  "functional": "GGA-PBE",
  "state": "relaxed",
  "energy_ev_per_atom": -4.89,
  "delta_e_f_ev_per_atom": -0.4711,
  "total_magnetization_mub_per_atom": 0.000,
  "cell": [[5.1607, 0.0000, 0.0000], [2.5804, 4.4693, 0.0000], [2.5804, 1.4898, 4.2137]],
  "species": ["Rh", "Cd", "La", "Tm"],
  "fractional_positions": [[0.2500, 0.2500, 0.2500], [0.7500, 0.7500, 0.7500], [0.0000, 0.0000, 0.0000], [0.5000, 0.5000, 0.5000]]
}

Record 7
{
  "formula": "NdPuTaN3",
  "functional": "GGA-PBE",
  "state": "relaxed",
  "energy_ev_per_atom": -10.30,
  "total_magnetization_mub_per_atom": 0.870,
  "cell": [[-2.6756, -1.7258, -1.3908], [3.4688, -6.3801, 1.2434], [-3.5856, -0.1027, 7.0251]],
  "species": ["Nd", "N", "Pu", "Ta", "N", "N", "Pu", "Nd", "N", "N", "Ta", "N"],
  "fractional_positions": [[0.7500, 0.8518, 0.8382], [0.2500, 0.8272, 0.5455], [0.7500, 0.3820, 0.8405], [0.7500, 0.8759, 0.4161], [0.7500, 0.8755, 0.1588], [0.2500, 0.1245, 0.8412], [0.2500, 0.6180, 0.1595], [0.2500, 0.1482, 0.1618], [0.7500, 0.1728, 0.4545], [0.7500, 0.4044, 0.1149], [0.2500, 0.1241, 0.5839], [0.2500, 0.5956, 0.8851]]
}

Record 8
{
  "formula": "ReAg3",
  "functional": "GGA-PBE",
  "state": "relaxed",
  "energy_ev_per_atom": -4.65,
  "delta_e_f_ev_per_atom": 0.5980,
  "total_magnetization_mub_per_atom": 0.136,
  "de_polymorph_ev_per_fu": 0.84,
  "cell": [[-0.8292, 0.7297, -5.0666], [-4.1453, -2.2074, 2.1988], [-1.0164, 2.4218, 0.5151]],
  "species": ["Ag", "Re", "Ag", "Ag"],
  "fractional_positions": [[0.5000, 0.0000, 0.5000], [0.5000, 0.5000, 0.0000], [0.0000, 0.0000, 0.0000], [0.0000, 0.5000, 0.5000]]
}

Record 9
{
  "formula": "Al2ReBi2",
  "functional": "GGA-PBE",
  "state": "relaxed",
  "energy_ev_per_atom": -4.60,
  "delta_e_f_ev_per_atom": 0.9374,
  "total_magnetization_mub_per_atom": 0.204,
  "de_polymorph_ev_per_fu": 1.37,
  "cell": [[-1.6832, 5.6868, -4.0715], [-5.9749, 1.0076, 3.8775], [2.4101, 2.8433, 2.9749]],
  "species": ["Re", "Bi", "Al", "Al", "Bi", "Al", "Re", "Al", "Bi", "Bi"],
  "fractional_positions": [[0.0000, 0.0000, 0.0000], [0.8446, 0.6554, 0.0000], [0.8447, 0.3447, 0.5000], [0.3447, 0.1553, 0.5000], [0.1554, 0.3446, 0.0000], [0.6553, 0.8447, 0.5000], [0.5000, 0.5000, 0.0000], [0.1553, 0.6553, 0.5000], [0.3446, 0.8446, 0.0000], [0.6554, 0.1554, 0.0000]]
}